A plane-wave DFT calculation with PBE was carried out for crystalline CoSnSe2Br at its relaxed geometry.

Properties
- Symmetry: P4/mmm (123)
- Energy above the most stable polymorph in this dataset: 0.000 eV/atom
- ΔE_f (raw): 0.032 eV/atom
- N(E_F): 5.5 states/eV/cell
- Total moment: 1.579 μB/cell

CIF file:
```
data_CoSnSe2Br
_cell_length_a 4.759
_cell_length_b 4.759
_cell_length_c 5.041
_cell_angle_alpha 90.00
_cell_angle_beta 90.00
_cell_angle_gamma 90.00
_symmetry_space_group_name_H-M 'P 1'
_symmetry_Int_Tables_number 1
_symmetry_space_group_name_Hall 'P 1'
loop_
_atom_site_label
_atom_site_type_symbol
_atom_site_fract_x
_atom_site_fract_y
_atom_site_fract_z
Co1 Co 0.000 0.000 0.000
Sn1 Sn 0.500 0.500 0.500
Se1 Se 0.000 0.500 0.000
Se2 Se 0.500 0.000 0.000
Br1 Br 0.000 0.000 0.500
```